No. 1
VASP calculation (GGA-PBE) on crystalline Nd4PdAu at its relaxed geometry.

As for the symmetry: I4_1md, No. 109. As for the density of states at the Fermi level: 9.2 states/eV/f.u. Its magnetization is 0.0 μB per cell. As for the relative energy among the computed polymorphs: 0.196 eV/atom.

Unit cell a=8.2015 b=8.2015 c=8.2015 alpha=106.55 beta=106.55 gamma=115.49
Fractional positions:
Nd (0.2077, 0.0086, 0.1991)
Nd (0.2412, 0.9417, 0.7005)
Nd (0.6917, 0.4912, 0.2005)
Nd (0.8095, 0.0086, 0.8009)
Nd (0.2412, 0.5407, 0.2995)
Nd (0.7586, 0.4577, 0.6991)
Nd (0.7586, 0.0595, 0.3009)
Nd (0.2907, 0.4912, 0.7995)
Pd (0.2503, 0.2503, 0.0000)
Pd (0.0003, 0.5003, 0.5000)
Au (0.7501, 0.7501, 0.0000)
Au (0.5001, 0.0001, 0.5000)

No. 2
VASP calculation (GGA-PBE) on crystalline Tl2CrCl at its relaxed geometry.

As for the symmetry: Fm-3m, No. 225. As for the density of states at the Fermi level: 2.1 states/eV/f.u. Its magnetization is 5.0 μB per cell. As for the relative energy among the computed polymorphs: 0.325 eV/atom. For the formation energy from raw total energies, the calculation gives 0.245 eV per atom.

Unit cell a=5.3474 b=5.3474 c=5.3474 alpha=60.00 beta=60.00 gamma=60.00
Fractional positions:
Cr (0.5000, 0.5000, 0.5000)
Cl (0.0000, 0.0000, 0.0000)
Tl (0.2500, 0.2500, 0.2500)
Tl (0.7500, 0.7500, 0.7500)

No. 3
VASP calculation (GGA-PBE) on crystalline TlIn2Ir at its relaxed geometry.

As for the symmetry: Immm, No. 71. As for the density of states at the Fermi level: 1.8 states/eV/f.u. Its magnetization is 0.0 μB per cell. As for the relative energy among the computed polymorphs: 0.112 eV/atom.

Unit cell a=7.1722 b=7.1722 c=7.1722 alpha=155.44 beta=141.52 gamma=46.19
Fractional positions:
Tl (0.7500, 0.2500, 0.5000)
In (0.0643, 0.0643, 0.0000)
In (0.4357, 0.4357, 0.0000)
Ir (0.2500, 0.7500, 0.5000)

What is the magnetization in the second record? 5.0 μB per cell